Record 1
# PBE BaY2Br, relaxed
data_BaY2Br
_symmetry_space_group_name_H-M 'P 1'
_symmetry_Int_Tables_number 1
_symmetry_space_group_name_Hall 'P 1'
_cell_length_a 6.9644
_cell_length_b 6.9644
_cell_length_c 3.7190
_cell_angle_alpha 90.00
_cell_angle_beta 90.00
_cell_angle_gamma 123.88
loop_
_atom_site_label
_atom_site_type_symbol
_atom_site_fract_x
_atom_site_fract_y
_atom_site_fract_z
Ba1 Ba 0.0000 0.0000 0.0000
Y1 Y 0.0000 0.5000 0.5000
Y2 Y 0.5000 0.0000 0.5000
Br1 Br 0.5000 0.5000 0.0000
# Space group   Cmmm
# Energy relative to the elements, uncorrected   -0.02 eV per atom
# Distance to the lowest polymorph of the same formula   522 meV/atom
# ρ   4.4 g/cm³

=====

Record 2
# PBE Ba2YBr, relaxed
data_Ba2YBr
_symmetry_space_group_name_H-M 'P 1'
_symmetry_Int_Tables_number 1
_symmetry_space_group_name_Hall 'P 1'
_cell_length_a 4.1542
_cell_length_b 6.6999
_cell_length_c 6.6997
_cell_angle_alpha 90.00
_cell_angle_beta 90.08
_cell_angle_gamma 90.00
loop_
_atom_site_label
_atom_site_type_symbol
_atom_site_fract_x
_atom_site_fract_y
_atom_site_fract_z
Ba1 Ba 0.0000 0.0000 0.0000
Ba2 Ba 0.0014 0.5000 0.4981
Y1 Y 0.5003 0.0000 0.4999
Br1 Br 0.0048 0.5000 0.9980
# Space group   Pm
# Energy relative to the elements, uncorrected   -0.40 eV per atom
# Distance to the lowest polymorph of the same formula   191 meV/atom
# ρ   3.9 g/cm³

=====

Record 3
# PBE BaYBr4, relaxed
data_BaYBr4
_symmetry_space_group_name_H-M 'P 1'
_symmetry_Int_Tables_number 1
_symmetry_space_group_name_Hall 'P 1'
_cell_length_a 6.5252
_cell_length_b 6.5252
_cell_length_c 6.5252
_cell_angle_alpha 60.00
_cell_angle_beta 60.00
_cell_angle_gamma 60.00
loop_
_atom_site_label
_atom_site_type_symbol
_atom_site_fract_x
_atom_site_fract_y
_atom_site_fract_z
Ba1 Ba 0.0000 0.0000 0.0000
Y1 Y 0.2500 0.2500 0.2500
Br1 Br 0.1263 0.6246 0.6246
Br2 Br 0.6246 0.1263 0.6246
Br3 Br 0.6246 0.6246 0.1263
Br4 Br 0.6246 0.6246 0.6246
# Space group   F-43m
# Energy relative to the elements, uncorrected   -0.46 eV per atom
# ρ   4.6 g/cm³

=====

Record 4
# PBE BaY2Br, relaxed
data_BaY2Br
_symmetry_space_group_name_H-M 'P 1'
_symmetry_Int_Tables_number 1
_symmetry_space_group_name_Hall 'P 1'
_cell_length_a 5.8911
_cell_length_b 5.8911
_cell_length_c 5.8911
_cell_angle_alpha 60.00
_cell_angle_beta 60.00
_cell_angle_gamma 60.00
loop_
_atom_site_label
_atom_site_type_symbol
_atom_site_fract_x
_atom_site_fract_y
_atom_site_fract_z
Ba1 Ba 0.0000 0.0000 0.0000
Y1 Y 0.5000 0.5000 0.5000
Y2 Y 0.7500 0.7500 0.7500
Br1 Br 0.2500 0.2500 0.2500
# Space group   F-43m
# Energy relative to the elements, uncorrected   0.09 eV per atom
# Distance to the lowest polymorph of the same formula   633 meV/atom
# ρ   4.5 g/cm³

=====

Record 5
# PBE BaY2Br, relaxed
data_BaY2Br
_symmetry_space_group_name_H-M 'P 1'
_symmetry_Int_Tables_number 1
_symmetry_space_group_name_Hall 'P 1'
_cell_length_a 7.2800
_cell_length_b 7.2800
_cell_length_c 7.2800
_cell_angle_alpha 151.21
_cell_angle_beta 132.06
_cell_angle_gamma 56.89
loop_
_atom_site_label
_atom_site_type_symbol
_atom_site_fract_x
_atom_site_fract_y
_atom_site_fract_z
Ba1 Ba 0.0000 0.0000 0.0000
Y1 Y 0.2883 0.7883 0.5000
Y2 Y 0.7117 0.2117 0.5000
Br1 Br 0.5000 0.5000 0.0000
# Space group   Immm
# Energy relative to the elements, uncorrected   -0.41 eV per atom
# Distance to the lowest polymorph of the same formula   137 meV/atom
# ρ   4.8 g/cm³

=====

Record 6
# PBE BaY4Br, relaxed
data_BaY4Br
_symmetry_space_group_name_H-M 'P 1'
_symmetry_Int_Tables_number 1
_symmetry_space_group_name_Hall 'P 1'
_cell_length_a 6.9237
_cell_length_b 6.9237
_cell_length_c 6.9237
_cell_angle_alpha 60.00
_cell_angle_beta 60.00
_cell_angle_gamma 60.00
loop_
_atom_site_label
_atom_site_type_symbol
_atom_site_fract_x
_atom_site_fract_y
_atom_site_fract_z
Ba1 Ba 0.0000 0.0000 0.0000
Y1 Y 0.3737 0.3737 0.3737
Y2 Y 0.3737 0.3737 0.8790
Y3 Y 0.3737 0.8790 0.3737
Y4 Y 0.8790 0.3737 0.3737
Br1 Br 0.7500 0.7500 0.7500
# Space group   F-43m
# Energy relative to the elements, uncorrected   0.29 eV per atom
# ρ   4.1 g/cm³

=====

Record 7
# PBE BaY2Br, relaxed
data_BaY2Br
_symmetry_space_group_name_H-M 'P 1'
_symmetry_Int_Tables_number 1
_symmetry_space_group_name_Hall 'P 1'
_cell_length_a 7.4186
_cell_length_b 7.4186
_cell_length_c 7.4186
_cell_angle_alpha 101.43
_cell_angle_beta 101.43
_cell_angle_gamma 127.14
loop_
_atom_site_label
_atom_site_type_symbol
_atom_site_fract_x
_atom_site_fract_y
_atom_site_fract_z
Ba1 Ba 0.0000 0.0000 0.0000
Ba2 Ba 0.7500 0.2500 0.5000
Y1 Y 0.2154 0.6250 0.0904
Y2 Y 0.3750 0.4654 0.5904
Y3 Y 0.5346 0.1250 0.9096
Y4 Y 0.8750 0.7846 0.4096
Br1 Br 0.2500 0.7500 0.5000
Br2 Br 0.5000 0.5000 0.0000
# Space group   I-42d
# Energy relative to the elements, uncorrected   -0.23 eV per atom
# Distance to the lowest polymorph of the same formula   311 meV/atom
# ρ   4.5 g/cm³

=====

Record 8
# PBE Ba2YBr7, relaxed
data_Ba2YBr7
_symmetry_space_group_name_H-M 'P 1'
_symmetry_Int_Tables_number 1
_symmetry_space_group_name_Hall 'P 1'
_cell_length_a 7.3538
_cell_length_b 16.5095
_cell_length_c 11.2632
_cell_angle_alpha 90.00
_cell_angle_beta 90.61
_cell_angle_gamma 90.00
loop_
_atom_site_label
_atom_site_type_symbol
_atom_site_fract_x
_atom_site_fract_y
_atom_site_fract_z
Ba1 Ba 0.2302 0.2198 0.4544
Ba2 Ba 0.2302 0.2802 0.9544
Ba3 Ba 0.2313 0.5590 0.3239
Ba4 Ba 0.2313 0.9410 0.8238
Ba5 Ba 0.7687 0.0590 0.1762
Ba6 Ba 0.7687 0.4410 0.6762
Ba7 Ba 0.7698 0.7198 0.0456
Ba8 Ba 0.7698 0.7802 0.5456
Y1 Y 0.2795 0.6283 0.7790
Y2 Y 0.2795 0.8717 0.2790
Y3 Y 0.7205 0.1283 0.7210
Y4 Y 0.7205 0.3717 0.2210
Br1 Br 0.0084 0.7402 0.2983
Br2 Br 0.0084 0.7598 0.7983
Br3 Br 0.0111 0.6059 0.5812
Br4 Br 0.0111 0.8941 0.0812
Br5 Br 0.1958 0.0395 0.2871
Br6 Br 0.1958 0.4605 0.7871
Br7 Br 0.1965 0.6381 0.0248
Br8 Br 0.1965 0.8619 0.5248
Br9 Br 0.3773 0.0694 0.6218
Br10 Br 0.3773 0.4306 0.1218
Br11 Br 0.4994 0.1042 0.9307
Br12 Br 0.4994 0.3958 0.4307
Br13 Br 0.4988 0.7251 0.2902
Br14 Br 0.4988 0.7749 0.7902
Br15 Br 0.5012 0.2251 0.2098
Br16 Br 0.5012 0.2749 0.7098
Br17 Br 0.5006 0.6042 0.5693
Br18 Br 0.5006 0.8958 0.0693
Br19 Br 0.6227 0.5694 0.8782
Br20 Br 0.6227 0.9306 0.3782
Br21 Br 0.8035 0.1381 0.4752
Br22 Br 0.8035 0.3619 0.9752
Br23 Br 0.8042 0.5395 0.2129
Br24 Br 0.8042 0.9605 0.7129
Br25 Br 0.9889 0.1059 0.9188
Br26 Br 0.9889 0.3941 0.4188
Br27 Br 0.9916 0.2402 0.2017
Br28 Br 0.9916 0.2598 0.7017
# Space group   P2_1/c
# Energy relative to the elements, uncorrected   -2.05 eV per atom
# Distance to the lowest polymorph of the same formula   3 meV/atom
# ρ   4.5 g/cm³

=====

Record 9
# PBE Ba2YBr, relaxed
data_Ba2YBr
_symmetry_space_group_name_H-M 'P 1'
_symmetry_Int_Tables_number 1
_symmetry_space_group_name_Hall 'P 1'
_cell_length_a 3.9895
_cell_length_b 3.9895
_cell_length_c 11.7411
_cell_angle_alpha 90.00
_cell_angle_beta 90.00
_cell_angle_gamma 115.49
loop_
_atom_site_label
_atom_site_type_symbol
_atom_site_fract_x
_atom_site_fract_y
_atom_site_fract_z
Ba1 Ba 0.0000 0.0000 0.0000
Ba2 Ba 0.5000 0.5000 0.3218
Y1 Y 0.5000 0.5000 0.7391
Br1 Br 0.0000 0.0000 0.5514
# Space group   Cmm2
# Energy relative to the elements, uncorrected   -0.44 eV per atom
# Distance to the lowest polymorph of the same formula   150 meV/atom
# ρ   4.4 g/cm³

=====

Record 10
# PBE Ba2YBr, relaxed
data_Ba2YBr
_symmetry_space_group_name_H-M 'P 1'
_symmetry_Int_Tables_number 1
_symmetry_space_group_name_Hall 'P 1'
_cell_length_a 4.2804
_cell_length_b 5.7427
_cell_length_c 7.3444
_cell_angle_alpha 90.00
_cell_angle_beta 90.00
_cell_angle_gamma 90.00
loop_
_atom_site_label
_atom_site_type_symbol
_atom_site_fract_x
_atom_site_fract_y
_atom_site_fract_z
Ba1 Ba 0.0000 0.0000 0.0000
Ba2 Ba 0.5000 0.0000 0.5000
Y1 Y 0.0000 0.5000 0.5000
Br1 Br 0.5000 0.5000 0.0000
# Space group   Pmmm
# Energy relative to the elements, uncorrected   -0.17 eV per atom
# Distance to the lowest polymorph of the same formula   423 meV/atom
# ρ   4.1 g/cm³

=====

Record 11
# PBE BaY2Br, relaxed
data_BaY2Br
_symmetry_space_group_name_H-M 'P 1'
_symmetry_Int_Tables_number 1
_symmetry_space_group_name_Hall 'P 1'
_cell_length_a 3.6879
_cell_length_b 6.4604
_cell_length_c 6.5682
_cell_angle_alpha 90.00
_cell_angle_beta 90.00
_cell_angle_gamma 90.00
loop_
_atom_site_label
_atom_site_type_symbol
_atom_site_fract_x
_atom_site_fract_y
_atom_site_fract_z
Ba1 Ba 0.0000 0.0000 0.0000
Y1 Y 0.5000 0.2410 0.5000
Y2 Y 0.5000 0.7590 0.5000
Br1 Br 0.0000 0.5000 0.0000
# Space group   Pmmm
# Energy relative to the elements, uncorrected   -0.04 eV per atom
# Distance to the lowest polymorph of the same formula   507 meV/atom
# ρ   4.2 g/cm³

=====

Record 12
# PBE BaY2Br, relaxed
data_BaY2Br
_symmetry_space_group_name_H-M 'P 1'
_symmetry_Int_Tables_number 1
_symmetry_space_group_name_Hall 'P 1'
_cell_length_a 3.7357
_cell_length_b 3.7357
_cell_length_c 10.1072
_cell_angle_alpha 90.00
_cell_angle_beta 90.00
_cell_angle_gamma 90.00
loop_
_atom_site_label
_atom_site_type_symbol
_atom_site_fract_x
_atom_site_fract_y
_atom_site_fract_z
Ba1 Ba 0.0000 0.0000 0.0000
Y1 Y 0.0000 0.0000 0.4608
Y2 Y 0.5000 0.5000 0.6920
Br1 Br 0.5000 0.5000 0.2451
# Space group   P4mm
# Energy relative to the elements, uncorrected   -0.47 eV per atom
# Distance to the lowest polymorph of the same formula   72 meV/atom
# ρ   4.7 g/cm³